Entry from Alexandria via LeMat-Bulk: crystalline MgW2O4 at its relaxed geometry (PBE with a Hubbard U). Values from VASP.

Cell and atoms, written as Quantum ESPRESSO input:
```
&SYSTEM
  ibrav = 0, nat = 28, ntyp = 3
/
ATOMIC_SPECIES
Mg 24.30 Mg.upf
W 183.84 W.upf
O 16.00 O.upf
CELL_PARAMETERS angstrom
3.184 0.000 0.000
0.000 9.657 0.000
0.000 0.000 11.062
ATOMIC_POSITIONS crystal
Mg 0.250 0.243 0.843
Mg 0.750 0.757 0.157
Mg 0.250 0.743 0.657
Mg 0.750 0.257 0.343
W 0.750 0.393 0.598
W 0.250 0.107 0.098
W 0.750 0.893 0.902
W 0.250 0.607 0.402
W 0.250 0.546 0.876
W 0.750 0.454 0.124
W 0.250 0.046 0.624
W 0.750 0.954 0.376
O 0.750 0.898 0.570
O 0.250 0.102 0.430
O 0.750 0.398 0.930
O 0.250 0.602 0.070
O 0.750 0.085 0.222
O 0.250 0.915 0.778
O 0.750 0.585 0.278
O 0.250 0.415 0.722
O 0.750 0.615 0.546
O 0.250 0.385 0.454
O 0.750 0.115 0.954
O 0.250 0.885 0.046
O 0.250 0.815 0.314
O 0.750 0.185 0.686
O 0.750 0.685 0.814
O 0.250 0.315 0.186
```

SG: Pnma (62)
total moment: 6.0 μB/f.u.
relative energy among the computed polymorphs: 120 meV per atom
E_tot: -6.889 eV per atom